A geometry-optimized Zr2VInHg structure, computed with PBE.

Output
The calculation puts the volume at 120.9 Å³/cell. As for the formation energy: 453 meV per atom. The value obtained for the size of the total moment is 0.0 μB/cell.

Geometry as CIF:
```
data_Zr2VInHg
_chemical_formula_sum 'Zr2 V1 In1 Hg1'
_cell_length_a 4.837
_cell_length_b 5.167
_cell_length_c 4.837
_cell_angle_alpha 90.00
_cell_angle_beta 90.00
_cell_angle_gamma 90.00
_space_group_name_H-M_alt 'P 1'
_space_group_IT_number 1
loop_
_space_group_symop_operation_xyz
'x,y,z'
loop_
_atom_site_label
_atom_site_type_symbol
_atom_site_fract_x
_atom_site_fract_y
_atom_site_fract_z
Zr1 Zr 0.000 0.000 0.500
Zr2 Zr 0.500 0.000 0.000
V1 V 0.000 0.000 0.000
In1 In 0.000 0.500 0.000
Hg1 Hg 0.500 0.500 0.500
```



A geometry-optimized AlSb structure, computed with PBE.

Output
The calculation puts the uncorrected formation energy at 38 meV per atom. The calculation puts the volume at 396.7 Å³/cell. The value obtained for the size of the total moment is 0.0 μB/cell.

Geometry as CIF:
```
data_AlSb
_chemical_formula_sum 'Al6 Sb6'
_cell_length_a 12.174
_cell_length_b 4.295
_cell_length_c 7.588
_cell_angle_alpha 90.00
_cell_angle_beta 90.00
_cell_angle_gamma 90.00
_space_group_name_H-M_alt 'P 1'
_space_group_IT_number 1
loop_
_space_group_symop_operation_xyz
'x,y,z'
loop_
_atom_site_label
_atom_site_type_symbol
_atom_site_fract_x
_atom_site_fract_y
_atom_site_fract_z
Al1 Al 0.209 0.330 0.643
Al2 Al 0.791 0.330 0.643
Al3 Al 0.500 0.923 0.942
Al4 Al 0.291 0.670 0.143
Al5 Al 0.709 0.670 0.143
Al6 Al 0.000 0.077 0.442
Sb1 Sb 0.299 0.833 0.798
Sb2 Sb 0.500 0.422 0.178
Sb3 Sb 0.000 0.578 0.678
Sb4 Sb 0.799 0.167 0.298
Sb5 Sb 0.201 0.167 0.298
Sb6 Sb 0.701 0.833 0.798
```



A geometry-optimized La4GePbCl2 structure, computed with PBE.

Output
The calculation puts the uncorrected formation energy at -1217 meV per atom. The calculation puts the volume at 241.2 Å³/cell. The value obtained for the size of the total moment is 0.0 μB/cell.

Geometry as CIF:
```
data_La4GePbCl2
_chemical_formula_sum 'La4 Ge1 Pb1 Cl2'
_cell_length_a 4.506
_cell_length_b 7.269
_cell_length_c 7.887
_cell_angle_alpha 69.03
_cell_angle_beta 90.00
_cell_angle_gamma 90.00
_space_group_name_H-M_alt 'P 1'
_space_group_IT_number 1
loop_
_space_group_symop_operation_xyz
'x,y,z'
loop_
_atom_site_label
_atom_site_type_symbol
_atom_site_fract_x
_atom_site_fract_y
_atom_site_fract_z
La1 La 0.500 0.746 0.266
La2 La 0.000 0.245 0.268
La3 La 0.000 0.755 0.732
La4 La 0.500 0.254 0.734
Cl1 Cl 0.500 0.000 0.500
Cl2 Cl 0.000 0.000 0.000
Ge1 Ge 0.000 0.500 0.500
Pb1 Pb 0.500 0.500 0.000
```